(1)
Sr2ZrInCo | meta-GGA SCAN | PBEsol geometry

Values from the calculation:
- calculated total energy (eV/cell) = -124.77
- ρ (g/cm³) = 4.92
- SG = P4/mmm, No. 123
- crystal system = tetragonal
- ΔH_f (0 K) (eV/atom) = 0.23

Geometry as extended XYZ:
```
5
Lattice="5.692 0.000 0.000 0.000 5.692 0.000 0.000 0.000 4.584" Properties=species:S:1:pos:R:3 pbc="T T T"
Sr 0.000 2.846 0.000
Sr 2.846 0.000 0.000
Zr 0.000 0.000 2.292
In 2.846 2.846 2.292
Co 0.000 0.000 0.000
```


(2)
In2IBrN | meta-GGA SCAN | PBEsol geometry

Values from the calculation:
- calculated total energy (eV/cell) = -129.00
- ρ (g/cm³) = 4.71
- SG = P4/mmm, No. 123
- crystal system = tetragonal

Geometry as extended XYZ:
```
5
Lattice="6.235 0.000 0.000 0.000 6.235 0.000 0.000 0.000 4.085" Properties=species:S:1:pos:R:3 pbc="T T T"
In 0.000 3.118 0.000
In 3.118 0.000 0.000
I 0.000 0.000 0.000
Br 3.118 3.118 2.042
N 0.000 0.000 2.042
```